# SmTl2MoO8

A relaxed structure of SmTl2MoO8 (PBE with a Hubbard U, Alexandria via LeMat-Bulk).

```
SmTl2MoO8
1.0
5.103 -0.055 -0.003
-0.032 5.101 -0.006
0.004 0.008 6.826
O Sm Tl Mo
8 1 2 1
Cartesian
4.190 0.874 1.416 O
0.883 4.175 1.414 O
3.486 3.487 3.407 O
1.589 1.567 3.410 O
1.430 1.414 -0.002 O
0.886 4.180 5.402 O
3.645 3.640 6.820 O
4.192 0.878 5.403 O
0.002 0.004 3.413 Sm
2.537 2.525 1.659 Tl
2.539 2.529 5.159 Tl
0.000 0.000 0.000 Mo
```

## Properties
- Crystal system: monoclinic
- Final energy: -6.078 eV per atom
- Symmetry: P2/m, No. 10
- Magnetic moment: 1.06 μB/f.u.